[1]
# Er7Cd2Pd2 PBE-GGA optimized geometry
data_Er7Cd2Pd2
_cell_length_a 7.993
_cell_length_b 10.924
_cell_length_c 7.110
_cell_angle_alpha 90.00
_cell_angle_beta 90.00
_cell_angle_gamma 90.00
_space_group_name_H-M_alt 'C m m m'
_space_group_IT_number 65
_space_group_name_Hall '-C 2 2'
loop_
_atom_site_label
_atom_site_fract_x
_atom_site_fract_y
_atom_site_fract_z
_atom_site_occupancy
Er1 0.000 0.000 0.000 1
Er2 0.000 0.500 0.250 1
Er3 0.250 0.250 0.257 1
Cd1 0.175 0.000 0.500 1
Pd1 0.000 0.290 0.000 1
# Theoretical density: 8.60 g/cm³
# Calculated formation energy: -0.29 eV per atom

[2]
# ErCd3Pd PBE-GGA optimized geometry
data_ErCd3Pd
_cell_length_a 5.420
_cell_length_b 5.420
_cell_length_c 18.729
_cell_angle_alpha 90.00
_cell_angle_beta 90.00
_cell_angle_gamma 90.00
_space_group_name_H-M_alt 'I -4 m 2'
_space_group_IT_number 119
_space_group_name_Hall 'I -4 -2'
loop_
_atom_site_label
_atom_site_fract_x
_atom_site_fract_y
_atom_site_fract_z
_atom_site_occupancy
Er1 0.000 0.000 0.209 1
Cd1 0.000 0.249 0.623 1
Cd2 0.000 0.500 0.042 1
Pd1 0.000 0.000 0.500 1
Pd2 0.000 0.500 0.750 1
# Theoretical density: 7.38 g/cm³
# Calculated formation energy: -0.10 eV per atom
# Energy above the most stable polymorph in this dataset: 258.1 meV/atom

[3]
# ErCdPd PBE-GGA optimized geometry
data_ErCdPd
_cell_length_a 13.356
_cell_length_b 3.766
_cell_length_c 7.757
_cell_angle_alpha 90.00
_cell_angle_beta 90.00
_cell_angle_gamma 90.00
_space_group_name_H-M_alt 'P m m a'
_space_group_IT_number 51
_space_group_name_Hall '-P 2a 2a'
loop_
_atom_site_label
_atom_site_fract_x
_atom_site_fract_y
_atom_site_fract_z
_atom_site_occupancy
Er1 0.048 0.000 0.226 1
Er2 0.250 0.000 0.823 1
Cd1 0.108 0.500 0.563 1
Cd2 0.250 0.500 0.183 1
Pd1 0.097 0.500 0.934 1
Pd2 0.250 0.000 0.446 1
# Theoretical density: 9.86 g/cm³
# Calculated formation energy: -0.68 eV per atom

[4]
# Er2Cd5Pd PBE-GGA optimized geometry
data_Er2Cd5Pd
_cell_length_a 4.8252
_cell_length_b 4.8252
_cell_length_c 29.5454
_cell_angle_alpha 90.00
_cell_angle_beta 90.00
_cell_angle_gamma 120.00
_space_group_name_H-M_alt 'R -3 m'
_space_group_IT_number 166
_space_group_name_Hall '-R 3 2"'
loop_
_atom_site_label
_atom_site_fract_x
_atom_site_fract_y
_atom_site_fract_z
_atom_site_occupancy
Er1 0.0000 0.0000 0.0887 1
Cd1 0.0000 0.0000 0.2001 1
Cd2 0.0000 0.0000 0.3532 1
Cd3 0.0000 0.0000 0.5000 1
Pd1 0.0000 0.0000 0.0000 1
# Theoretical density: 8.39 g/cm³
# Calculated formation energy: -0.19 eV per atom

[5]
# ErCd5Pd6 PBE-GGA optimized geometry
data_ErCd5Pd6
_cell_length_a 4.369
_cell_length_b 13.146
_cell_length_c 7.499
_cell_angle_alpha 90.00
_cell_angle_beta 90.00
_cell_angle_gamma 90.00
_space_group_name_H-M_alt 'C m m m'
_space_group_IT_number 65
_space_group_name_Hall '-C 2 2'
loop_
_atom_site_label
_atom_site_fract_x
_atom_site_fract_y
_atom_site_fract_z
_atom_site_occupancy
Er1 0.000 0.000 0.000 1
Cd1 0.000 0.000 0.500 1
Cd2 0.000 0.329 0.000 1
Cd3 0.000 0.335 0.500 1
Pd1 0.000 0.167 0.253 1
Pd2 0.000 0.500 0.247 1
# Theoretical density: 10.55 g/cm³
# Calculated formation energy: -0.52 eV per atom

[6]
# Er3CdPd4 PBE-GGA optimized geometry
data_Er3CdPd4
_cell_length_a 9.713
_cell_length_b 6.808
_cell_length_c 4.856
_cell_angle_alpha 90.00
_cell_angle_beta 90.00
_cell_angle_gamma 90.00
_space_group_name_H-M_alt 'P m m a'
_space_group_IT_number 51
_space_group_name_Hall '-P 2a 2a'
loop_
_atom_site_label
_atom_site_fract_x
_atom_site_fract_y
_atom_site_fract_z
_atom_site_occupancy
Er1 0.000 0.000 0.000 1
Er2 0.250 0.000 0.499 1
Er3 0.250 0.500 0.498 1
Cd1 0.000 0.500 0.000 1
Pd1 0.000 0.247 0.500 1
Pd2 0.250 0.247 0.998 1
# Theoretical density: 10.76 g/cm³
# Calculated formation energy: -0.83 eV per atom

[7]
# ErCdPd4 PBE-GGA optimized geometry
data_ErCdPd4
_cell_length_a 9.492
_cell_length_b 3.863
_cell_length_c 6.126
_cell_angle_alpha 90.00
_cell_angle_beta 110.10
_cell_angle_gamma 90.00
_space_group_name_H-M_alt 'C 1 2/m 1'
_space_group_IT_number 12
_space_group_name_Hall '-C 2y'
loop_
_atom_site_label
_atom_site_fract_x
_atom_site_fract_y
_atom_site_fract_z
_atom_site_occupancy
Er1 0.000 0.000 0.000 1
Cd1 0.000 0.000 0.500 1
Pd1 0.165 0.500 0.335 1
Pd2 0.167 0.500 0.826 1
# Theoretical density: 11.10 g/cm³
# Calculated formation energy: -0.61 eV per atom

[8]
# Er4CdPd PBE-GGA optimized geometry
data_Er4CdPd
_cell_length_a 13.574
_cell_length_b 13.574
_cell_length_c 13.574
_cell_angle_alpha 90.00
_cell_angle_beta 90.00
_cell_angle_gamma 90.00
_space_group_name_H-M_alt 'F -4 3 m'
_space_group_IT_number 216
_space_group_name_Hall 'F -4 2 3'
loop_
_atom_site_label
_atom_site_fract_x
_atom_site_fract_y
_atom_site_fract_z
_atom_site_occupancy
Er1 0.000 0.000 0.184 1
Er2 0.061 0.250 0.250 1
Er3 0.104 0.104 0.604 1
Cd1 0.168 0.168 0.832 1
Pd1 0.105 0.105 0.395 1
# Theoretical density: 9.43 g/cm³
# Calculated formation energy: -0.46 eV per atom
# Energy above the most stable polymorph in this dataset: 0.0 meV/atom

[9]
# ErCdPd PBE-GGA optimized geometry
data_ErCdPd
_cell_length_a 3.651
_cell_length_b 3.651
_cell_length_c 9.457
_cell_angle_alpha 90.00
_cell_angle_beta 90.00
_cell_angle_gamma 90.00
_space_group_name_H-M_alt 'I 4 m m'
_space_group_IT_number 107
_space_group_name_Hall 'I 4 -2'
loop_
_atom_site_label
_atom_site_fract_x
_atom_site_fract_y
_atom_site_fract_z
_atom_site_occupancy
Er1 0.000 0.000 0.000 1
Cd1 0.000 0.000 0.685 1
Pd1 0.000 0.000 0.349 1
# Theoretical density: 10.17 g/cm³
# Calculated formation energy: -0.64 eV per atom

[10]
# ErCdPd2 PBE-GGA optimized geometry
data_ErCdPd2
_cell_length_a 4.697
_cell_length_b 4.697
_cell_length_c 3.456
_cell_angle_alpha 90.00
_cell_angle_beta 90.00
_cell_angle_gamma 90.00
_space_group_name_H-M_alt 'P 4/m m m'
_space_group_IT_number 123
_space_group_name_Hall '-P 4 2'
loop_
_atom_site_label
_atom_site_fract_x
_atom_site_fract_y
_atom_site_fract_z
_atom_site_occupancy
Er1 0.000 0.000 0.000 1
Cd1 0.500 0.500 0.000 1
Pd1 0.000 0.500 0.500 1
# Theoretical density: 10.72 g/cm³
# Calculated formation energy: -0.69 eV per atom
# Energy above the most stable polymorph in this dataset: 66.4 meV/atom